A plane-wave DFT calculation with GGA-PBE was carried out for an optimized crystal structure of Ca6MgIn5.

```
Ca6MgIn5
1.0
2.731 -8.225 0.000
2.731 8.225 0.000
0.000 0.000 7.713
Ca Mg In
6 1 5
Cartesian
0.000 0.000 1.878 Ca
0.000 0.000 5.834 Ca
2.731 2.784 1.926 Ca
2.731 2.784 5.786 Ca
2.731 -2.784 1.926 Ca
2.731 -2.784 5.786 Ca
2.731 0.000 3.856 Mg
2.731 5.596 3.856 In
2.731 5.487 0.000 In
2.731 0.000 0.000 In
2.731 -5.487 0.000 In
2.731 -5.596 3.856 In
```

Properties
Energy of formation from the pure elements = -416.8 meV/atom
Total DFT energy (no corrections) = -2.691 eV/atom

A plane-wave DFT calculation with GGA-PBE was carried out for an optimized crystal structure of Cs2K21Na6.

```
Cs2K21Na6
1.0
0.000 10.034 10.034
10.034 0.000 10.034
10.034 10.034 0.000
Cs K Na
2 21 6
Cartesian
5.017 5.017 5.017 Cs
15.051 15.051 15.051 Cs
0.000 0.000 0.000 K
3.449 3.449 0.000 K
6.585 6.585 0.000 K
3.449 0.000 3.449 K
10.034 6.585 3.449 K
6.585 0.000 6.585 K
10.034 3.449 6.585 K
12.342 7.727 7.727 K
0.000 3.449 3.449 K
6.585 10.034 3.449 K
6.585 3.449 10.034 K
7.727 7.727 7.727 K
12.342 12.342 7.727 K
12.342 7.727 12.342 K
7.727 12.342 7.727 K
7.727 7.727 12.342 K
12.342 12.342 12.342 K
0.000 6.585 6.585 K
3.449 10.034 6.585 K
3.449 6.585 10.034 K
7.727 12.342 12.342 K
10.034 10.034 5.317 Na
10.034 5.317 10.034 Na
14.751 10.034 10.034 Na
5.317 10.034 10.034 Na
10.034 14.751 10.034 Na
10.034 10.034 14.751 Na
```

Properties
Energy of formation from the pure elements = 29.1 meV/atom
Total DFT energy (no corrections) = -1.097 eV/atom

A plane-wave DFT calculation with GGA-PBE was carried out for an optimized crystal structure of Tb9PmHo2.

```
Tb9PmHo2
1.0
5.037 0.000 0.000
0.000 5.037 0.000
0.000 0.000 15.115
Tb Pm Ho
9 1 2
Cartesian
0.000 0.000 0.000 Tb
0.000 0.000 5.060 Tb
0.000 0.000 10.055 Tb
0.000 2.519 2.548 Tb
0.000 2.519 7.558 Tb
0.000 2.519 12.567 Tb
2.519 0.000 2.548 Tb
2.519 0.000 7.558 Tb
2.519 0.000 12.567 Tb
2.519 2.519 0.000 Pm
2.519 2.519 5.053 Ho
2.519 2.519 10.062 Ho
```

Properties
Energy of formation from the pure elements = 19.6 meV/atom
Total DFT energy (no corrections) = -4.612 eV/atom
Excess energy over the best structure of this formula in the dataset = 0.0 meV per atom

A plane-wave DFT calculation with GGA-PBE was carried out for an optimized crystal structure of Pm3NdZn.

```
Pm3NdZn
1.0
6.042 -4.532 0.000
6.042 4.532 0.000
-5.235 0.000 5.990
Pm Nd Zn
6 2 2
Cartesian
-1.063 0.000 1.995 Pm
1.927 1.736 1.347 Pm
1.927 -1.736 1.347 Pm
4.922 1.736 4.644 Pm
4.922 -1.736 4.644 Pm
7.912 0.000 3.995 Pm
1.510 0.000 4.338 Nd
5.339 0.000 1.653 Nd
-1.562 0.000 5.250 Zn
8.411 0.000 0.740 Zn
```

Properties
Energy of formation from the pure elements = 59.5 meV/atom
Total DFT energy (no corrections) = -3.999 eV/atom
Excess energy over the best structure of this formula in the dataset = 173.1 meV per atom

A plane-wave DFT calculation with GGA-PBE was carried out for an optimized crystal structure of Th2Al3Ag6.

```
Th2Al3Ag6
1.0
7.818 0.000 0.000
-3.909 6.771 0.000
0.000 0.000 4.426
Th Al Ag
2 3 6
Cartesian
0.000 4.514 0.000 Th
3.909 2.257 0.000 Th
-2.412 4.178 2.213 Al
1.497 2.593 2.213 Al
4.824 0.000 2.213 Al
-1.135 1.965 2.213 Ag
-3.099 5.368 0.000 Ag
0.810 1.402 0.000 Ag
2.269 0.000 2.213 Ag
2.774 4.805 2.213 Ag
6.199 0.000 0.000 Ag
```

Properties
Energy of formation from the pure elements = -159.0 meV/atom
Total DFT energy (no corrections) = -4.084 eV/atom

A plane-wave DFT calculation with GGA-PBE was carried out for an optimized crystal structure of CoMo4Os.

```
CoMo4Os
1.0
0.000 3.607 3.607
3.607 0.000 3.607
3.607 3.607 0.000
Co Mo Os
1 4 1
Cartesian
0.000 0.000 0.000 Co
4.516 2.699 2.699 Mo
2.699 4.516 2.699 Mo
2.699 2.699 4.516 Mo
4.516 4.516 4.516 Mo
1.804 1.804 1.804 Os
```

Properties
Energy of formation from the pure elements = 482.2 meV/atom
Total DFT energy (no corrections) = -9.794 eV/atom

A plane-wave DFT calculation with GGA-PBE was carried out for an optimized crystal structure of Tb3Pm2Ho6In.

```
Tb3Pm2Ho6In
1.0
3.042 -5.272 0.000
3.042 5.272 0.000
-2.039 0.000 11.513
Tb Pm Ho In
3 2 6 1
Cartesian
0.000 0.000 0.000 Tb
3.042 1.760 0.000 Tb
3.042 -1.760 0.000 Tb
2.022 3.520 5.756 Pm
2.022 -3.520 5.756 Pm
1.033 1.727 2.895 Ho
0.022 0.000 8.632 Ho
1.033 -1.727 2.895 Ho
3.011 1.727 8.618 Ho
4.022 0.000 2.881 Ho
3.011 -1.727 8.618 Ho
2.022 0.000 5.756 In
```

Properties
Energy of formation from the pure elements = -54.5 meV/atom
Total DFT energy (no corrections) = -4.521 eV/atom

A plane-wave DFT calculation with GGA-PBE was carried out for an optimized crystal structure of KRuCl2.

```
KRuCl2
1.0
6.613 -1.784 0.000
6.613 1.784 0.000
-0.137 0.000 5.039
K Ru Cl
1 1 2
Cartesian
0.000 0.000 0.000 K
3.820 0.000 1.516 Ru
5.974 0.000 2.535 Cl
9.293 0.000 0.163 Cl
```

Properties
Total DFT energy (no corrections) = -3.837 eV/atom
Excess energy over the best structure of this formula in the dataset = 158.2 meV per atom
Energy relative to the elements, uncorrected = -0.320 eV/atom

A plane-wave DFT calculation with GGA-PBE was carried out for an optimized crystal structure of LiTiAl.

```
LiTiAl
1.0
2.440 -4.196 0.000
2.440 4.196 0.000
-1.798 0.000 4.789
Li Ti Al
2 2 2
Cartesian
0.000 0.000 0.000 Li
2.440 -1.337 0.000 Li
1.542 2.730 2.394 Ti
1.542 -2.863 2.394 Ti
2.440 1.417 0.000 Al
1.542 -0.052 2.394 Al
```

Properties
Energy of formation from the pure elements = -32.4 meV/atom
Total DFT energy (no corrections) = -4.550 eV/atom
Excess energy over the best structure of this formula in the dataset = 175.1 meV per atom

A plane-wave DFT calculation with GGA-PBE was carried out for an optimized crystal structure of TlTe3Au.

```
TlTe3Au
1.0
5.732 0.000 0.000
0.000 5.732 0.000
0.000 0.000 5.732
Tl Te Au
1 3 1
Cartesian
0.000 0.000 0.000 Tl
0.000 0.000 2.866 Te
0.000 2.866 0.000 Te
2.866 0.000 0.000 Te
2.866 2.866 2.866 Au
```

Properties
Total DFT energy (no corrections) = -2.069 eV/atom
Excess energy over the best structure of this formula in the dataset = 990.3 meV per atom
Energy relative to the elements, uncorrected = 0.945 eV/atom

A plane-wave DFT calculation with GGA-PBE was carried out for an optimized crystal structure of HoThPt2.

```
HoThPt2
1.0
2.038 1.177 6.967
-2.038 1.177 6.967
0.000 -2.354 6.967
Ho Th Pt
1 1 2
Cartesian
0.000 0.000 0.000 Ho
0.000 0.000 17.302 Th
0.000 0.000 5.188 Pt
0.000 0.000 8.601 Pt
```

Properties
Energy of formation from the pure elements = -1180.0 meV/atom
Total DFT energy (no corrections) = -7.200 eV/atom
Excess energy over the best structure of this formula in the dataset = 45.3 meV per atom

A plane-wave DFT calculation with GGA-PBE was carried out for an optimized crystal structure of Tb3CePm2Y6.

```
Tb3CePm2Y6
1.0
3.107 -5.380 0.000
3.107 5.380 0.000
-2.068 0.000 11.654
Tb Ce Pm Y
3 1 2 6
Cartesian
0.000 0.000 0.000 Tb
3.107 1.799 0.000 Tb
3.107 -1.799 0.000 Tb
2.073 0.000 5.827 Ce
2.073 3.588 5.827 Pm
2.073 -3.588 5.827 Pm
1.043 1.781 2.902 Y
0.016 0.000 8.754 Y
1.043 -1.781 2.902 Y
3.103 1.781 8.751 Y
4.130 0.000 2.900 Y
3.103 -1.781 8.751 Y
```

Properties
Energy of formation from the pure elements = 37.2 meV/atom
Total DFT energy (no corrections) = -5.639 eV/atom

A plane-wave DFT calculation with GGA-PBE was carried out for an optimized crystal structure of KNiBr2.

```
KNiBr2
1.0
6.491 -2.043 0.000
6.491 2.043 0.000
-0.877 0.000 5.040
K Ni Br
1 1 2
Cartesian
0.000 0.000 0.000 K
8.468 0.000 3.837 Ni
2.697 0.000 4.737 Br
6.465 0.000 2.588 Br
```

Properties
Total DFT energy (no corrections) = -3.297 eV/atom
Excess energy over the best structure of this formula in the dataset = 27.3 meV per atom
Energy relative to the elements, uncorrected = -0.741 eV/atom

A plane-wave DFT calculation with GGA-PBE was carried out for an optimized crystal structure of LaNdErS3.

```
LaNdErS3
1.0
6.950 0.000 0.000
0.000 3.939 0.000
-2.281 0.000 10.319
La Nd Er S
2 2 2 6
Cartesian
0.593 0.985 2.031 La
4.076 2.954 8.288 La
0.623 0.985 8.934 Nd
4.047 2.954 1.385 Nd
0.596 2.954 5.730 Er
4.073 0.985 4.589 Er
-1.162 0.985 6.716 S
1.507 2.954 0.065 S
2.323 2.954 3.630 S
2.347 0.985 6.689 S
3.163 0.985 10.254 S
5.832 2.954 3.603 S
```

Properties
Total DFT energy (no corrections) = -6.400 eV/atom
Energy relative to the elements, uncorrected = -1.960 eV/atom

A plane-wave DFT calculation with GGA-PBE was carried out for an optimized crystal structure of CaHgW2.

```
CaHgW2
1.0
5.559 -1.529 0.000
5.559 1.529 0.000
-1.401 0.000 4.622
Ca Hg W
1 1 2
Cartesian
0.000 0.000 0.000 Ca
4.859 0.000 2.311 Hg
1.585 0.000 3.414 W
8.133 0.000 1.208 W
```

Properties
Energy of formation from the pure elements = 758.3 meV/atom
Total DFT energy (no corrections) = -6.294 eV/atom